Entry 1:
Material: ScV
Method: DFT, GGA-PBE
State: optimized geometry

Cell: 6.148 8.150 3.006 Å, 90.00 96.09 90.00°
Space group C2/m (No. 12)
Asymmetric unit:
Sc: 0.000 0.187 0.000 x4
V: 0.148 0.500 0.403 x4

E above lowest polymorph = 126 meV per atom
Formation energy = 0.212 eV/atom

Entry 2:
Material: ScV
Method: DFT, GGA-PBE
State: optimized geometry

Cell: 5.201 8.801 13.544 Å, 90.00 90.00 90.00°
Space group Fddd (No. 70, origin choice 2)
Asymmetric unit:
Sc: 0.125 0.292 0.125 x16
V: 0.125 0.125 0.554 x16

E above lowest polymorph = 194 meV per atom
Formation energy = 0.280 eV/atom

Entry 3:
Material: ScV
Method: DFT, GGA-PBE
State: optimized geometry

Cell: 11.536 11.536 2.880 Å, 90.00 90.00 90.00°
Space group I4/m (No. 87)
Asymmetric unit:
Sc: 0.055 0.667 0.000 x8
V: 0.168 0.229 0.000 x8

E above lowest polymorph = 660 meV per atom
Formation energy = 0.745 eV/atom

Entry 4:
Material: ScV
Method: DFT, GGA-PBE
State: optimized geometry

Cell: 2.9698 2.9698 4.7361 Å, 90.00 90.00 120.00°
Space group P-6m2 (No. 187)
Asymmetric unit:
Sc: 0.0000 0.0000 0.0000 x1
V: 0.3333 0.6667 0.5000 x1

E above lowest polymorph = 297 meV per atom
Formation energy = 0.382 eV/atom

Entry 5:
Material: ScV
Method: DFT, GGA-PBE
State: optimized geometry

Cell: 10.391 10.391 2.884 Å, 90.00 90.00 90.00°
Space group P4/mmm (No. 123)
Asymmetric unit:
Sc: 0.000 0.259 0.000 x4
Sc: 0.270 0.270 0.500 x4
V: 0.112 0.500 0.500 x4
V: 0.330 0.500 0.000 x4

E above lowest polymorph = 266 meV per atom
Formation energy = 0.351 eV/atom

Entry 6:
Material: ScV5
Method: DFT, GGA-PBE
State: optimized geometry

Cell: 4.563 12.828 3.069 Å, 90.00 90.00 90.00°
Space group Cmmm (No. 65)
Asymmetric unit:
Sc: 0.000 0.000 0.000 x2
V: 0.000 0.187 0.500 x4
V: 0.000 0.334 0.000 x4
V: 0.000 0.500 0.500 x2

Formation energy = 0.188 eV/atom

Entry 7:
Material: ScV
Method: DFT, GGA-PBE
State: optimized geometry

Cell: 9.556 4.958 3.218 Å, 90.00 105.13 90.00°
Space group C2/m (No. 12)
Asymmetric unit:
Sc: 0.145 0.000 0.375 x4
V: 0.090 0.500 0.851 x4

E above lowest polymorph = 95 meV per atom
Formation energy = 0.181 eV/atom

Entry 8:
Material: ScV
Method: DFT, GGA-PBE
State: optimized geometry

Cell: 6.280 6.280 6.280 Å, 90.00 90.00 90.00°
Space group F-43m (No. 216)
Asymmetric unit:
Sc: 0.000 0.000 0.000 x4
V: 0.250 0.250 0.750 x4

E above lowest polymorph = 1907 meV per atom
Formation energy = 1.992 eV/atom

Entry 9:
Material: ScV
Method: DFT, GGA-PBE
State: optimized geometry

Cell: 2.944 4.426 5.769 Å, 90.00 103.45 90.00°
Space group P2_1/m (No. 11)
Asymmetric unit:
Sc: 0.182 0.250 0.340 x2
V: 0.391 0.250 0.894 x2

E above lowest polymorph = 139 meV per atom
Formation energy = 0.225 eV/atom

Entry 10:
Material: ScV
Method: DFT, GGA-PBE
State: optimized geometry

Cell: 4.7650 4.7650 5.4376 Å, 90.00 90.00 120.00°
Space group P6_3/mmc (No. 194)
Asymmetric unit:
Sc: 0.3333 0.6667 0.2500 x2
V: 0.3333 0.6667 0.7500 x2

E above lowest polymorph = 1443 meV per atom
Formation energy = 1.529 eV/atom

Entry 11:
Material: ScV
Method: DFT, GGA-PBE
State: optimized geometry

Cell: 7.950 7.950 7.950 Å, 90.00 90.00 90.00°
Space group I-43m (No. 217)
Asymmetric unit:
Sc: 0.215 0.215 0.215 x8
V: 0.103 0.103 0.897 x8

E above lowest polymorph = 1339 meV per atom
Formation energy = 1.425 eV/atom

Entry 12:
Material: Sc5V
Method: DFT, GGA-PBE
State: optimized geometry

Cell: 4.700 12.270 4.709 Å, 90.00 90.00 90.00°
Space group Cmmm (No. 65)
Asymmetric unit:
Sc: 0.000 0.000 0.000 x2
Sc: 0.000 0.153 0.500 x4
Sc: 0.000 0.346 0.000 x4
V: 0.000 0.500 0.500 x2

Formation energy = 0.160 eV/atom

Entry 13:
Material: ScV3
Method: DFT, GGA-PBE
State: optimized geometry

Cell: 6.278 6.278 6.278 Å, 90.00 90.00 90.00°
Space group Fm-3m (No. 225)
Asymmetric unit:
Sc: 0.000 0.000 0.000 x4
V: 0.000 0.000 0.500 x4
V: 0.250 0.250 0.250 x8

E above lowest polymorph = 15 meV per atom
Formation energy = 0.303 eV/atom

Entry 14:
Material: ScV
Method: DFT, GGA-PBE
State: optimized geometry

Cell: 3.213 12.550 5.767 Å, 90.00 90.00 90.00°
Space group Imm2 (No. 44)
Asymmetric unit:
Sc: 0.000 0.000 0.000 x2
Sc: 0.000 0.295 0.737 x4
V: 0.000 0.000 0.488 x2
V: 0.000 0.393 0.188 x4

E above lowest polymorph = 221 meV per atom
Formation energy = 0.307 eV/atom

Entry 15:
Material: ScV3
Method: DFT, GGA-PBE
State: optimized geometry

Cell: 3.230 4.243 4.647 Å, 90.00 90.00 90.00°
Space group Pmm2 (No. 25)
Asymmetric unit:
Sc: 0.000 0.000 0.000 x1
V: 0.000 0.500 0.553 x1
V: 0.500 0.000 0.493 x1
V: 0.500 0.500 0.137 x1

E above lowest polymorph = 0 meV per atom
Formation energy = 0.288 eV/atom

Entry 16:
Material: ScVW3
Method: DFT, GGA-PBE
State: optimized geometry

Cell: 4.612 4.612 4.612 Å, 90.00 90.00 90.00°
Space group Pm-3m (No. 221)
Asymmetric unit:
Sc: 0.000 0.000 0.000 x1
V: 0.500 0.500 0.500 x1
W: 0.000 0.000 0.500 x3

E above lowest polymorph = 1224 meV per atom
Formation energy = 2.474 eV/atom

Entry 17:
Material: Sc2V2W
Method: DFT, GGA-PBE
State: optimized geometry

Cell: 6.248 6.248 4.732 Å, 90.00 90.00 90.00°
Space group P4/mbm (No. 127)
Asymmetric unit:
Sc: 0.174 0.326 0.000 x4
V: 0.138 0.638 0.500 x4
W: 0.000 0.000 0.500 x2

Formation energy = 0.280 eV/atom

Entry 18:
Material: ScVW2
Method: DFT, GGA-PBE
State: optimized geometry

Cell: 6.376 6.376 6.376 Å, 90.00 90.00 90.00°
Space group Fm-3m (No. 225)
Asymmetric unit:
Sc: 0.000 0.000 0.000 x4
V: 0.000 0.000 0.500 x4
W: 0.250 0.250 0.250 x8

E above lowest polymorph = 0 meV per atom
Formation energy = 0.321 eV/atom

Entry 19:
Material: ScVW2
Method: DFT, GGA-PBE
State: optimized geometry

Cell: 7.237 7.237 5.411 Å, 90.00 90.00 90.00°
Space group I-42d (No. 122)
Asymmetric unit:
Sc: 0.000 0.000 0.000 x4
V: 0.000 0.000 0.500 x4
W: 0.216 0.250 0.625 x8

E above lowest polymorph = 477 meV per atom
Formation energy = 0.798 eV/atom

Entry 20:
Material: Sc3VW
Method: DFT, GGA-PBE
State: optimized geometry

Cell: 5.046 5.046 5.046 Å, 90.00 90.00 90.00°
Space group Pm-3m (No. 221)
Asymmetric unit:
Sc: 0.000 0.000 0.500 x3
V: 0.500 0.500 0.500 x1
W: 0.000 0.000 0.000 x1

E above lowest polymorph = 0 meV per atom
Formation energy = 0.960 eV/atom

Entry 21:
Material: ScVW3
Method: DFT, GGA-PBE
State: optimized geometry

Cell: 4.594 4.594 4.594 Å, 90.00 90.00 90.00°
Space group Pm-3m (No. 221)
Asymmetric unit:
Sc: 0.000 0.000 0.000 x1
V: 0.500 0.500 0.500 x1
W: 0.000 0.500 0.500 x3

E above lowest polymorph = 0 meV per atom
Formation energy = 1.249 eV/atom

Entry 22:
Material: Y2ScV
Method: DFT, GGA-PBE
State: optimized geometry

Cell: 3.3145 3.3145 33.5903 Å, 90.00 90.00 120.00°
Space group R-3m (No. 166, hexagonal axes)
Asymmetric unit:
Y: 0.0000 0.0000 0.0845 x6
Sc: 0.0000 0.0000 0.5000 x3
V: 0.0000 0.0000 0.0000 x3

E above lowest polymorph = 364 meV per atom
Formation energy = 0.620 eV/atom

Entry 23:
Material: Y2ScV
Method: DFT, GGA-PBE
State: optimized geometry

Cell: 7.427 7.427 7.427 Å, 90.00 90.00 90.00°
Space group Fm-3m (No. 225)
Asymmetric unit:
Y: 0.250 0.250 0.250 x8
Sc: 0.000 0.000 0.000 x4
V: 0.000 0.000 0.500 x4

E above lowest polymorph = 0 meV per atom
Formation energy = 0.256 eV/atom

Entry 24:
Material: YSc3V
Method: DFT, GGA-PBE
State: optimized geometry

Cell: 5.024 5.024 5.024 Å, 90.00 90.00 90.00°
Space group Pm-3m (No. 221)
Asymmetric unit:
Y: 0.000 0.000 0.000 x1
Sc: 0.000 0.500 0.500 x3
V: 0.500 0.500 0.500 x1

E above lowest polymorph = 0 meV per atom
Formation energy = 0.355 eV/atom